1.
Compound: ErTmCoAg
Source: Alexandria via LeMat-Bulk
Functional: PBE
Structure: relaxed

## Properties
* symmetry: No. 216
* energy above the lowest structure with this stoichiometry: 0.068 eV/atom
* ΔH_f (0 K): -215 meV per atom

a = 6.904 Å, b = 6.904 Å, c = 6.904 Å
α = 90.00°, β = 90.00°, γ = 90.00°
Fractional coordinates of all 16 atoms:
1 Er 0.000 0.000 0.000
2 Er 0.000 0.500 0.500
3 Er 0.500 0.000 0.500
4 Er 0.500 0.500 0.000
5 Tm 0.000 0.000 0.500
6 Tm 0.000 0.500 0.000
7 Tm 0.500 0.000 0.000
8 Tm 0.500 0.500 0.500
9 Co 0.250 0.250 0.750
10 Co 0.250 0.750 0.250
11 Co 0.750 0.250 0.250
12 Co 0.750 0.750 0.750
13 Ag 0.250 0.250 0.250
14 Ag 0.250 0.750 0.750
15 Ag 0.750 0.250 0.750
16 Ag 0.750 0.750 0.250


2.
Compound: ErTmCoAg
Source: Alexandria via LeMat-Bulk
Functional: PBE
Structure: relaxed

## Properties
* symmetry: No. 99
* energy above the lowest structure with this stoichiometry: 0.000 eV/atom
* ΔH_f (0 K): -283 meV per atom

a = 3.330 Å, b = 3.330 Å, c = 7.454 Å
α = 90.00°, β = 90.00°, γ = 90.00°
Fractional coordinates of all 4 atoms:
1 Er 0.000 0.000 0.000
2 Tm 0.000 0.000 0.563
3 Co 0.500 0.500 0.780
4 Ag 0.500 0.500 0.284


3.
Compound: YErCoAg
Source: Alexandria via LeMat-Bulk
Functional: PBE
Structure: relaxed

## Properties
* symmetry: No. 216
* ΔH_f (0 K): -189 meV per atom

a = 6.968 Å, b = 6.968 Å, c = 6.968 Å
α = 90.00°, β = 90.00°, γ = 90.00°
Fractional coordinates of all 16 atoms:
1 Y 0.000 0.000 0.000
2 Y 0.000 0.500 0.500
3 Y 0.500 0.000 0.500
4 Y 0.500 0.500 0.000
5 Er 0.000 0.000 0.500
6 Er 0.000 0.500 0.000
7 Er 0.500 0.000 0.000
8 Er 0.500 0.500 0.500
9 Co 0.250 0.250 0.750
10 Co 0.250 0.750 0.250
11 Co 0.750 0.250 0.250
12 Co 0.750 0.750 0.750
13 Ag 0.250 0.250 0.250
14 Ag 0.250 0.750 0.750
15 Ag 0.750 0.250 0.750
16 Ag 0.750 0.750 0.250


4.
Compound: LaEuCoAg
Source: Alexandria via LeMat-Bulk
Functional: PBE
Structure: relaxed

## Properties
* symmetry: No. 216
* ΔH_f (0 K): -13 meV per atom

a = 7.305 Å, b = 7.305 Å, c = 7.305 Å
α = 90.00°, β = 90.00°, γ = 90.00°
Fractional coordinates of all 16 atoms:
1 La 0.000 0.000 0.000
2 La 0.000 0.500 0.500
3 La 0.500 0.000 0.500
4 La 0.500 0.500 0.000
5 Eu 0.000 0.000 0.500
6 Eu 0.000 0.500 0.000
7 Eu 0.500 0.000 0.000
8 Eu 0.500 0.500 0.500
9 Co 0.250 0.250 0.750
10 Co 0.250 0.750 0.250
11 Co 0.750 0.250 0.250
12 Co 0.750 0.750 0.750
13 Ag 0.250 0.250 0.250
14 Ag 0.250 0.750 0.750
15 Ag 0.750 0.250 0.750
16 Ag 0.750 0.750 0.250


5.
Compound: PmEuCoAg
Source: Alexandria via LeMat-Bulk
Functional: PBE
Structure: relaxed

## Properties
* symmetry: No. 216
* ΔH_f (0 K): -1 meV per atom

a = 7.213 Å, b = 7.213 Å, c = 7.213 Å
α = 90.00°, β = 90.00°, γ = 90.00°
Fractional coordinates of all 16 atoms:
1 Pm 0.000 0.000 0.000
2 Pm 0.000 0.500 0.500
3 Pm 0.500 0.000 0.500
4 Pm 0.500 0.500 0.000
5 Eu 0.000 0.000 0.500
6 Eu 0.000 0.500 0.000
7 Eu 0.500 0.000 0.000
8 Eu 0.500 0.500 0.500
9 Co 0.250 0.250 0.750
10 Co 0.250 0.750 0.250
11 Co 0.750 0.250 0.250
12 Co 0.750 0.750 0.750
13 Ag 0.250 0.250 0.250
14 Ag 0.250 0.750 0.750
15 Ag 0.750 0.250 0.750
16 Ag 0.750 0.750 0.250


6.
Compound: SmEuCoAg
Source: Alexandria via LeMat-Bulk
Functional: PBE
Structure: relaxed

## Properties
* symmetry: No. 216
* ΔH_f (0 K): -5 meV per atom

a = 7.193 Å, b = 7.193 Å, c = 7.193 Å
α = 90.00°, β = 90.00°, γ = 90.00°
Fractional coordinates of all 16 atoms:
1 Sm 0.000 0.000 0.000
2 Sm 0.000 0.500 0.500
3 Sm 0.500 0.000 0.500
4 Sm 0.500 0.500 0.000
5 Eu 0.000 0.000 0.500
6 Eu 0.000 0.500 0.000
7 Eu 0.500 0.000 0.000
8 Eu 0.500 0.500 0.500
9 Co 0.250 0.250 0.250
10 Co 0.250 0.750 0.750
11 Co 0.750 0.250 0.750
12 Co 0.750 0.750 0.250
13 Ag 0.250 0.250 0.750
14 Ag 0.250 0.750 0.250
15 Ag 0.750 0.250 0.250
16 Ag 0.750 0.750 0.750


7.
Compound: TbEuCoAg
Source: Alexandria via LeMat-Bulk
Functional: PBE
Structure: relaxed

## Properties
* symmetry: No. 216
* ΔH_f (0 K): -19 meV per atom

a = 7.129 Å, b = 7.129 Å, c = 7.129 Å
α = 90.00°, β = 90.00°, γ = 90.00°
Fractional coordinates of all 16 atoms:
1 Tb 0.000 0.000 0.000
2 Tb 0.000 0.500 0.500
3 Tb 0.500 0.000 0.500
4 Tb 0.500 0.500 0.000
5 Eu 0.000 0.000 0.500
6 Eu 0.000 0.500 0.000
7 Eu 0.500 0.000 0.000
8 Eu 0.500 0.500 0.500
9 Co 0.250 0.250 0.250
10 Co 0.250 0.750 0.750
11 Co 0.750 0.250 0.750
12 Co 0.750 0.750 0.250
13 Ag 0.250 0.250 0.750
14 Ag 0.250 0.750 0.250
15 Ag 0.750 0.250 0.250
16 Ag 0.750 0.750 0.750


What is the formula in the seventh record? TbEuCoAg